{
  "formula": "Ac2DySn3",
  "functional": "PBE",
  "state": "relaxed",
  "cell": [[-3.398, 5.001, -2.815], [2.040, -2.553, -7.000], [-5.499, -6.544, 2.913]],
  "species": ["Ac", "Ac", "Ac", "Ac", "Dy", "Dy", "Sn", "Sn", "Sn", "Sn", "Sn", "Sn"],
  "frac_coords": [[0.668, 0.584, 0.338], [0.671, 0.084, 0.338], [0.329, 0.916, 0.662], [0.332, 0.416, 0.662], [0.996, 0.750, 0.000], [0.004, 0.250, 0.000], [0.504, 0.250, 0.000], [0.496, 0.750, 0.000], [0.157, 0.079, 0.312], [0.846, 0.421, 0.688], [0.154, 0.579, 0.312], [0.843, 0.921, 0.688]],
  "sg": "C2/c (15)",
  "final_energy_ev_per_cell": -55.67
}

{
  "formula": "ThNpTe2",
  "functional": "PBE",
  "state": "relaxed",
  "cell": [[-3.694, -0.395, 1.573], [-1.041, -3.419, 1.870], [1.770, 2.532, 9.968]],
  "species": ["Np", "Te", "Te", "Th"],
  "frac_coords": [[0.500, 0.500, 0.500], [0.101, 0.101, 0.698], [0.899, 0.899, 0.302], [0.000, 0.000, 0.000]],
  "sg": "R-3m (166)",
  "formation_energy_uncorrected_ev_per_atom": -0.250
}

Please write out number 1 again, unchanged.
{
  "formula": "Ac2DySn3",
  "functional": "PBE",
  "state": "relaxed",
  "cell": [[-3.398, 5.001, -2.815], [2.040, -2.553, -7.000], [-5.499, -6.544, 2.913]],
  "species": ["Ac", "Ac", "Ac", "Ac", "Dy", "Dy", "Sn", "Sn", "Sn", "Sn", "Sn", "Sn"],
  "frac_coords": [[0.668, 0.584, 0.338], [0.671, 0.084, 0.338], [0.329, 0.916, 0.662], [0.332, 0.416, 0.662], [0.996, 0.750, 0.000], [0.004, 0.250, 0.000], [0.504, 0.250, 0.000], [0.496, 0.750, 0.000], [0.157, 0.079, 0.312], [0.846, 0.421, 0.688], [0.154, 0.579, 0.312], [0.843, 0.921, 0.688]],
  "sg": "C2/c (15)",
  "final_energy_ev_per_cell": -55.67
}